The following is a DFT calculation (GGA-PBE) of a geometry-optimized SrCeGe2Ir2 structure.

Properties
Energy of formation from the pure elements = -0.7085 eV/atom
E = -38.823 eV/f.u.

a = 4.3005 Å, b = 4.3005 Å, c = 8.3695 Å
α = 90.00°, β = 90.00°, γ = 120.00°
Atoms (fractional coordinates):
Sr  0.0000  0.0000  0.0000
Ce  0.0000  0.0000  0.5000
Ge  0.3333  0.6667  0.7350
Ge  0.6667  0.3333  0.2650
Ir  0.3333  0.6667  0.2864
Ir  0.6667  0.3333  0.7136